(1)
Density functional theory data (PBE) for an optimized crystal structure of SnBi3O.

Cell: 5.0478 5.0478 5.0478 Å, 90.00 90.00 90.00°
Positions (direct):
Bi (0.0000, 0.5000, 0.0000)
Bi (0.0000, 0.0000, 0.5000)
Bi (0.5000, 0.0000, 0.0000)
O (0.0000, 0.0000, 0.0000)
Sn (0.5000, 0.5000, 0.5000)

Calculated values
- volume (Å³ per cell) = 128.6
- E above lowest polymorph (meV/atom) = 0
- energy relative to the elements, uncorrected (eV/atom) = -0.117

(2)
Density functional theory data (PBE) for an optimized crystal structure of Pu4SbTe2P.

Cell: 4.3088 7.5298 7.5159 Å, 70.51 90.00 90.00°
Each line ends with the local moment (μB).
Positions (direct):
Pu (0.0000, 0.7358, 0.7385)  -5.24
Pu (0.0000, 0.2642, 0.2615)  -5.24
Pu (0.5000, 0.7234, 0.2737)  5.24
Pu (0.5000, 0.2766, 0.7263)  5.24
Sb (0.5000, 0.5000, 0.0000)  0.04
Te (0.0000, 0.0000, 0.0000)  -0.05
Te (0.5000, 0.0000, 0.5000)  0.04
P (0.0000, 0.5000, 0.5000)  -0.05

Calculated values
- volume (Å³ per cell) = 229.9
- energy relative to the elements, uncorrected (eV/atom) = -0.925

(3)
Density functional theory data (PBE) for an optimized crystal structure of RbTeBr.

Cell: 4.6683 6.3861 10.6042 Å, 84.65 90.00 111.44°
Positions (direct):
Rb (0.1194, 0.2388, 0.8682)
Rb (0.8806, 0.7612, 0.1318)
Te (0.3058, 0.6115, 0.5293)
Te (0.6942, 0.3885, 0.4707)
Br (0.5985, 0.1971, 0.1328)
Br (0.4015, 0.8029, 0.8672)

Calculated values
- volume (Å³ per cell) = 292.8
- E above lowest polymorph (meV/atom) = 70
- energy relative to the elements, uncorrected (eV/atom) = -0.964

(4)
Density functional theory data (PBE) for an optimized crystal structure of Lu4Pb2S.

Cell: 4.9498 4.9498 8.6447 Å, 106.64 106.64 90.00°
Positions (direct):
Pb (0.6393, 0.6393, 0.2786)
Pb (0.3607, 0.3607, 0.7214)
S (0.0000, 0.0000, 0.0000)
Lu (0.8338, 0.8338, 0.6676)
Lu (0.1662, 0.1662, 0.3324)
Lu (0.0000, 0.5000, 0.0000)
Lu (0.5000, 0.0000, 0.0000)

Calculated values
- volume (Å³ per cell) = 193.7
- energy relative to the elements, uncorrected (eV/atom) = -0.674

Q: Which value of energy relative to the elements, uncorrected does entry 1 give?
A: -0.117 eV/atom